Density functional theory data (PBE-GGA) for an optimized crystal structure of Ba2Li3CdPb4.

abc: 4.9513 4.9513 11.9531
angles: 90.00 90.00 90.00
Space group P-4m2 (No. 115)
Asymmetric unit:
Ba (0.0000, 0.5000, 0.2474) (multiplicity 2)
Li (0.0000, 0.0000, 0.0000) (multiplicity 1)
Li (0.0000, 0.5000, 0.6271) (multiplicity 2)
Cd (0.5000, 0.5000, 0.0000) (multiplicity 1)
Pb (0.0000, 0.0000, 0.5000) (multiplicity 1)
Pb (0.0000, 0.5000, 0.8629) (multiplicity 2)
Pb (0.5000, 0.5000, 0.5000) (multiplicity 1)

## Properties
- Size of the total moment: 0.00 μB per formula unit
- E_tot: -2.925 eV/atom
- DOS(E_F): 0.622 states/eV/atom
- Calculated volume: 293.0 Å³/cell